(1)
{
  "formula": "Nd2Sm7In2",
  "functional": "PBE",
  "state": "optimized geometry",
  "lattice_angstrom": [[5.436, 0.000, 0.000], [-0.002, 6.885, 0.000], [0.000, -0.011, 9.487]],
  "species": ["Nd", "Nd", "Sm", "Sm", "Sm", "Sm", "Sm", "Sm", "Sm", "In", "In"],
  "frac_coords": [[0.001, 0.249, 0.000], [0.999, 0.751, 0.000], [0.000, 0.000, 0.337], [0.000, 0.000, 0.663], [0.000, 0.500, 0.500], [0.500, 0.000, 0.171], [0.500, 0.000, 0.829], [0.500, 0.500, 0.207], [0.500, 0.500, 0.793], [0.500, 0.216, 0.500], [0.500, 0.784, 0.500]],
  "magnetic_moment_mub_per_fu": 0.00,
  "dos_ef_per_ev_cell": 11.17,
  "total_energy_ev_per_atom": -4.45
}

---

(2)
{
  "formula": "BaTlS2",
  "functional": "PBE",
  "state": "optimized geometry",
  "lattice_angstrom": [[4.841, 0.000, 0.000], [-2.421, 4.193, 0.000], [0.000, 0.000, 24.846]],
  "species": ["Ba", "Ba", "Ba", "Tl", "Tl", "Tl", "S", "S", "S", "S", "S", "S"],
  "frac_coords": [[0.000, 0.000, 0.000], [0.333, 0.667, 0.667], [0.667, 0.333, 0.333], [0.000, 0.000, 0.500], [0.333, 0.667, 0.167], [0.667, 0.333, 0.833], [0.000, 0.000, 0.395], [0.000, 0.000, 0.605], [0.333, 0.667, 0.062], [0.333, 0.667, 0.271], [0.667, 0.333, 0.729], [0.667, 0.333, 0.938]],
  "raw_formation_energy_ev_per_atom": -0.8584,
  "magnetic_moment_mub_per_fu": 0.92,
  "dos_ef_per_ev_cell": 7.21
}